## Sr2GeBiPt (PBE-GGA)

Data for an optimized crystal structure of Sr2GeBiPt.

Structure (extended XYZ):
```
5
Lattice="5.9090 0.0000 0.0000 0.0000 5.9090 0.0000 0.0000 0.0000 4.7046" Properties=species:S:1:pos:R:3 pbc="T T T"
Sr 0.0000 2.9545 0.0000
Sr 2.9545 0.0000 0.0000
Ge 0.0000 0.0000 2.3523
Bi 2.9545 2.9545 2.3523
Pt 0.0000 0.0000 0.0000
```

Calculated values
ΔE_f (eV per atom): -0.66

## HgAu2N (PBE-GGA)

Data for an optimized crystal structure of HgAu2N.

Structure (extended XYZ):
```
4
Lattice="0.0000 3.2416 3.2416 3.2416 0.0000 3.2416 3.2416 3.2416 0.0000" Properties=species:S:1:pos:R:3 pbc="T T T"
Hg 0.0000 0.0000 0.0000
Au 1.6208 1.6208 1.6208
Au 4.8625 4.8625 4.8625
N 3.2416 3.2416 3.2416
```

Calculated values
Formation energy (no corrections) (eV/atom): 1.249
Energy above the most stable polymorph in this dataset (meV/atom): 631

## MnHN (PBE-GGA)

Data for an optimized crystal structure of MnHN.

Structure (extended XYZ):
```
3
Lattice="-1.3592 1.3592 4.2906 1.3592 -1.3592 4.2906 1.3592 1.3592 -4.2906" Properties=species:S:1:pos:R:3 pbc="T T T"
Mn 0.0000 0.0000 0.0000
H 0.0000 0.0000 1.5427
N 0.0000 0.0000 4.1602
```

Calculated values
Energy above the most stable polymorph in this dataset (meV/atom): 161

## LaCeCd (PBE-GGA)

Data for an optimized crystal structure of LaCeCd.

Structure (extended XYZ):
```
6
Lattice="6.0944 0.0000 0.0000 0.0000 3.2574 0.0000 -0.2146 0.0000 8.5410" Properties=species:S:1:pos:R:3 pbc="T T T"
La 0.0000 0.0000 0.0000
La 2.9091 0.0000 2.4703
Ce 0.8268 0.0000 5.8242
Ce 4.2258 0.0000 5.3185
Cd 2.8271 1.6287 7.9842
Cd 5.9675 1.6287 2.9968
```

Calculated values
Energy above the most stable polymorph in this dataset (meV/atom): 47
ΔE_f (eV per atom): -0.09

## NdEuGdMg (PBE-GGA)

Data for an optimized crystal structure of NdEuGdMg.

Structure (extended XYZ):
```
4
Lattice="0.0000 4.0046 4.0046 4.0046 0.0000 4.0046 4.0046 4.0046 0.0000" Properties=species:S:1:pos:R:3 pbc="T T T"
Nd 0.0000 0.0000 0.0000
Eu 2.0023 2.0023 2.0023
Gd 4.0046 4.0046 4.0046
Mg 6.0069 6.0069 6.0069
```

Calculated values
ΔE_f (eV per atom): 0.05

## DyHSe (PBE-GGA)

Data for an optimized crystal structure of DyHSe.

Structure (extended XYZ):
```
3
Lattice="-1.9291 1.9291 3.8978 1.9291 -1.9291 3.8978 1.9291 1.9291 -3.8978" Properties=species:S:1:pos:R:3 pbc="T T T"
Dy 0.0000 0.0000 0.0000
H 0.0000 0.0000 2.1000
Se 0.0000 0.0000 4.8729
```

Calculated values
Total energy (eV per atom): -4.714

## NaFe3Br (PBE-GGA)

Data for an optimized crystal structure of NaFe3Br.

Structure (extended XYZ):
```
5
Lattice="4.4641 0.0000 0.0000 0.0000 4.4641 0.0000 0.0000 0.0000 4.4641" Properties=species:S:1:pos:R:3 pbc="T T T"
Na 0.0000 0.0000 0.0000
Fe 0.0000 2.2321 2.2321
Fe 2.2321 0.0000 2.2321
Fe 2.2321 2.2321 0.0000
Br 2.2321 2.2321 2.2321
```

Calculated values
Formation energy (no corrections) (eV/atom): 1.076
Energy above the most stable polymorph in this dataset (meV/atom): 0

## Nd2CdRu (PBE-GGA)

Data for an optimized crystal structure of Nd2CdRu.

Structure (extended XYZ):
```
4
Lattice="2.0578 1.1880 7.9834 -2.0578 1.1880 7.9834 0.0000 -2.3761 7.9834" Properties=species:S:1:pos:R:3 pbc="T T T"
Nd 0.0000 0.0000 0.0000
Nd 0.0000 0.0000 4.9250
Cd 0.0000 0.0000 10.4721
Ru 0.0000 0.0000 14.4144
```

Calculated values
ΔE_f (eV per atom): -0.11

## DyFe12B6 (PBE-GGA)

Data for an optimized crystal structure of DyFe12B6.

Structure (extended XYZ):
```
19
Lattice="4.7611 2.7488 2.4721 -4.7611 2.7488 2.4721 0.0000 -5.4976 2.4721" Properties=species:S:1:pos:R:3 pbc="T T T"
Dy 0.0000 0.0000 0.0000
Fe -1.7650 -3.0570 3.7081
Fe -3.5299 0.0000 3.7081
Fe -1.2716 -0.7342 2.6961
Fe 1.2716 -0.7342 2.6961
Fe 0.0000 1.4683 2.6961
Fe 1.7650 -3.0570 3.7081
Fe -1.7650 3.0570 3.7081
Fe 0.0000 -1.4683 4.7202
Fe -1.2716 0.7342 4.7202
Fe 1.2716 0.7342 4.7202
Fe 3.5299 0.0000 3.7081
Fe 1.7650 3.0570 3.7081
B 0.0000 -2.5371 2.8672
B -2.1972 1.2685 2.8672
B -2.1972 -1.2685 4.5491
B 2.1972 1.2685 2.8672
B 2.1972 -1.2685 4.5491
B 0.0000 2.5371 4.5491
```

Calculated values
ΔE_f (eV per atom): -0.29

## Rb2TlAsI6 (PBE-GGA)

Data for an optimized crystal structure of Rb2TlAsI6.

Structure (extended XYZ):
```
10
Lattice="0.0000 6.1670 6.1670 6.1670 0.0000 6.1670 6.1670 6.1670 0.0000" Properties=species:S:1:pos:R:3 pbc="T T T"
Rb 3.0835 3.0835 3.0835
Rb 9.2505 9.2505 9.2505
Tl 0.0000 0.0000 0.0000
As 6.1670 6.1670 6.1670
I 6.1670 6.1670 3.2854
I 6.1670 3.2854 6.1670
I 9.0486 6.1670 6.1670
I 3.2854 6.1670 6.1670
I 6.1670 9.0486 6.1670
I 6.1670 6.1670 9.0486
```

Calculated values
Formation energy (no corrections) (eV/atom): -0.771
Energy above the most stable polymorph in this dataset (meV/atom): 27

## PuCdCl2 (PBE-GGA)

Data for an optimized crystal structure of PuCdCl2.

Structure (extended XYZ):
```
4
Lattice="1.8163 1.0486 10.5005 -1.8163 1.0486 10.5005 0.0000 -2.0973 10.5005" Properties=species:S:1:pos:R:3 pbc="T T T"
Pu 0.0000 0.0000 0.0000
Cd 0.0000 0.0000 15.7508
Cl 0.0000 0.0000 2.5513
Cl 0.0000 0.0000 28.9503
```

Calculated values
Formation energy (no corrections) (eV/atom): -0.627

## SrSiH2N (PBE-GGA)

Data for an optimized crystal structure of SrSiH2N.

Structure (extended XYZ):
```
5
Lattice="3.8637 0.0000 0.0000 0.0000 3.8637 0.0000 0.0000 0.0000 3.6350" Properties=species:S:1:pos:R:3 pbc="T T T"
Sr 0.0000 0.0000 0.0000
Si 1.9319 1.9319 1.8175
H 0.0000 1.9319 1.8175
H 1.9319 0.0000 1.8175
N 1.9319 1.9319 0.0000
```

Calculated values
Total energy (eV per atom): -4.713

## Tl2BiF8 (PBE-GGA)

Data for an optimized crystal structure of Tl2BiF8.

Structure (extended XYZ):
```
11
Lattice="7.2573 0.0000 0.0000 -3.6286 6.2850 0.0000 0.0000 0.0000 4.5171" Properties=species:S:1:pos:R:3 pbc="T T T"
Tl 0.0000 4.1900 1.0359
Tl 3.6286 2.0950 3.4812
Bi 0.0000 0.0000 2.2586
F -0.0115 1.9449 1.1053
F -1.9385 5.3225 1.1053
F 1.6786 0.9824 3.4118
F 0.0000 4.1900 3.3045
F 3.6286 2.0950 1.2126
F 1.9501 5.3026 1.1053
F 5.5672 0.9625 3.4118
F 3.6402 4.3401 3.4118
```

Calculated values
Formation energy (no corrections) (eV/atom): -1.932

## Ba2Mg15In2 (PBE-GGA)

Data for an optimized crystal structure of Ba2Mg15In2.

Structure (extended XYZ):
```
19
Lattice="5.2983 3.0590 5.1646 -5.2983 3.0590 5.1646 0.0000 -6.1179 5.1646" Properties=species:S:1:pos:R:3 pbc="T T T"
Ba 0.0000 0.0000 2.5823
Ba 0.0000 0.0000 12.9116
Mg -2.6491 -1.5295 5.1646
Mg 0.0000 -3.0979 4.9864
Mg -2.6829 1.5490 4.9864
Mg -1.5730 -2.7246 7.7470
Mg -3.1461 0.0000 7.7470
Mg -2.6829 -1.5490 10.5076
Mg -2.6491 1.5295 10.3293
Mg 1.5730 -2.7246 7.7470
Mg 0.0000 3.0590 5.1646
Mg -1.5730 2.7246 7.7470
Mg 2.6829 1.5490 4.9864
Mg 3.1461 0.0000 7.7470
Mg 1.5730 2.7246 7.7470
Mg 2.6829 -1.5490 10.5076
Mg 0.0000 3.0979 10.5076
In 0.0000 0.0000 6.2216
In 0.0000 0.0000 9.2724
```

Calculated values
ΔE_f (eV per atom): -0.11

## ZnHOs (PBE-GGA)

Data for an optimized crystal structure of ZnHOs.

Structure (extended XYZ):
```
6
Lattice="4.4397 -1.4741 0.0000 4.4397 1.4741 0.0000 -4.1752 0.0000 4.9644" Properties=species:S:1:pos:R:3 pbc="T T T"
Zn -0.8089 0.0000 1.7538
Zn 5.5132 0.0000 3.2106
H 1.4626 0.0000 1.4768
H 3.2417 0.0000 3.4876
Os -0.9581 0.0000 4.4465
Os 5.6624 0.0000 0.5179
```

Calculated values
Energy above the most stable polymorph in this dataset (meV/atom): 17

## AlZn8Ag2 (PBE-GGA)

Data for an optimized crystal structure of AlZn8Ag2.

Structure (extended XYZ):
```
11
Lattice="5.5311 -3.2611 0.0000 5.5311 3.2611 0.0000 -2.6467 0.0000 5.5007" Properties=species:S:1:pos:R:3 pbc="T T T"
Al 0.0000 0.0000 0.0000
Zn -0.6844 0.0000 3.8214
Zn 1.3365 1.3109 4.9067
Zn 7.0790 1.3109 0.5940
Zn 4.4944 0.0000 1.5501
Zn 3.9211 0.0000 3.9505
Zn 1.3365 -1.3109 4.9067
Zn 7.0790 -1.3109 0.5940
Zn 9.1000 0.0000 1.6793
Ag 1.6445 0.0000 2.4359
Ag 6.7711 0.0000 3.0648
```

Calculated values
Energy above the most stable polymorph in this dataset (meV/atom): 133
ΔE_f (eV per atom): 0.15

## HfPbClF2 (PBE-GGA)

Data for an optimized crystal structure of HfPbClF2.

Structure (extended XYZ):
```
5
Lattice="4.1986 0.0000 0.0000 0.0000 4.1986 0.0000 0.0000 0.0000 6.1400" Properties=species:S:1:pos:R:3 pbc="T T T"
Hf 0.0000 0.0000 0.0000
Pb 0.0000 0.0000 3.0700
Cl 2.0993 2.0993 3.0700
F 0.0000 2.0993 0.0000
F 2.0993 0.0000 0.0000
```

Calculated values
Formation energy (no corrections) (eV/atom): -1.930

## Ti2Sb2Os (PBE-GGA)

Data for an optimized crystal structure of Ti2Sb2Os.

Structure (extended XYZ):
```
5
Lattice="-1.9430 1.9430 6.8770 1.9430 -1.9430 6.8770 1.9430 1.9430 -6.8770" Properties=species:S:1:pos:R:3 pbc="T T T"
Ti 0.0000 0.0000 1.2474
Ti 0.0000 0.0000 12.5066
Sb 1.9430 0.0000 3.4385
Sb 0.0000 1.9430 3.4385
Os 0.0000 0.0000 6.8770
```

Calculated values
Formation energy (no corrections) (eV/atom): 0.658
Energy above the most stable polymorph in this dataset (meV/atom): 609

## YHS2 (PBE-GGA)

Data for an optimized crystal structure of YHS2.

Structure (extended XYZ):
```
4
Lattice="0.0000 3.2765 3.2765 3.2765 0.0000 3.2765 3.2765 3.2765 0.0000" Properties=species:S:1:pos:R:3 pbc="T T T"
Y 0.0000 0.0000 0.0000
H 3.2765 3.2765 3.2765
S 1.6382 1.6382 1.6382
S 4.9147 4.9147 4.9147
```

Calculated values
Energy above the most stable polymorph in this dataset (meV/atom): 827

## Dy8ErTm5 (PBE-GGA)

Data for an optimized crystal structure of Dy8ErTm5.

Structure (extended XYZ):
```
14
Lattice="-4.7323 4.7323 5.0001 4.7323 -4.7323 5.0001 4.7323 4.7323 -5.0001" Properties=species:S:1:pos:R:3 pbc="T T T"
Dy 3.8805 1.6399 -0.0253
Dy 0.6592 1.6611 1.5512
Dy 3.0923 -0.8518 5.0254
Dy 1.6399 5.5840 0.0253
Dy -3.0711 4.0731 3.4489
Dy 0.8518 3.0923 4.9748
Dy 3.0711 5.3914 3.4489
Dy -0.6592 7.8034 1.5512
Er 0.0000 0.0000 5.0001
Tm 2.7602 -1.0468 1.7507
Tm 5.7791 -1.9720 3.2494
Tm 6.7043 1.0468 1.7507
Tm 3.6854 1.9720 3.2494
Tm 0.0000 4.7323 2.5001
```

Calculated values
ΔE_f (eV per atom): 0.26